Computed, not measured: crystalline PrGeIr at its relaxed geometry at the GGA-PBE level of DFT.

Lattice parameters (Å, degrees): 4.5964 4.5964 4.5964 60.00 60.00 60.00
Closest atoms and distances in Å follow each position.
Fractional coordinates of all 3 atoms:
Ge 0.0000 0.0000 0.0000  4 Pr 2.81, 4 Ir 2.81
Ir 0.2500 0.2500 0.2500  4 Ge 2.81
Pr 0.7500 0.7500 0.7500  4 Ge 2.81

* V: 22.9 A^3/atom
* energy: -18.749 eV per cell
* crystal system: cubic
* spin magnetization: 0.03 μB/f.u.



Computed, not measured: crystalline Pr2Ge5Ir3 at its relaxed geometry at the GGA-PBE level of DFT.

Lattice parameters (Å, degrees): 6.1170 8.4835 8.4835 90.09 111.13 111.13
Closest atoms and distances in Å follow each position.
Fractional coordinates of all 20 atoms:
Ge 0.1601 0.2593 0.0610  3 Ir 2.43-2.55, 2 Ge 2.71
Ge 0.2500 0.7756 0.2244  3 Ir 2.50-2.69, 2 Ge 2.71
Ge 0.7500 0.7756 0.2244  3 Ir 2.50-2.69, 2 Ge 2.71
Ge 0.6601 0.0610 0.2593  3 Ir 2.43-2.55, 2 Ge 2.71
Ge 0.2500 0.5000 0.5000  4 Ir 2.55
Ge 0.7500 0.5000 0.5000  4 Ir 2.55
Ge 0.3399 0.9390 0.7407  3 Ir 2.43-2.55, 2 Ge 2.71
Ge 0.2500 0.2244 0.7756  3 Ir 2.50-2.69, 2 Ge 2.71
Ge 0.7500 0.2244 0.7756  3 Ir 2.50-2.69, 2 Ge 2.71
Ge 0.8399 0.7407 0.9390  3 Ir 2.43-2.55, 2 Ge 2.71
Ir 0.2500 0.0000 0.0000  6 Ge 2.55-2.69
Ir 0.7500 0.0000 0.0000  6 Ge 2.55-2.69
Ir 0.3903 0.5314 0.2491  5 Ge 2.43-2.55
Ir 0.1097 0.7509 0.4686  5 Ge 2.43-2.55
Ir 0.8903 0.2491 0.5314  5 Ge 2.43-2.55
Ir 0.6097 0.4686 0.7509  5 Ge 2.43-2.55
Pr 0.7725 0.4057 0.1393  10 Ge 3.02-3.38, 3 Ir 3.19-3.29
Pr 0.2725 0.1393 0.4057  10 Ge 3.02-3.38, 3 Ir 3.19-3.29
Pr 0.7275 0.8607 0.5943  10 Ge 3.02-3.38, 3 Ir 3.19-3.29
Pr 0.2275 0.5943 0.8607  10 Ge 3.02-3.38, 3 Ir 3.19-3.29

* V: 18.9 A^3/atom
* energy: -133.331 eV per cell
* crystal system: orthorhombic
* spin magnetization: 0.00 μB/f.u.



Computed, not measured: crystalline Pr3Ge4Ir2Pt2 at its relaxed geometry at the GGA-PBE level of DFT.

Lattice parameters (Å, degrees): 13.0472 13.0472 13.0472 161.75 160.95 26.50
Closest atoms and distances in Å follow each position.
Fractional coordinates of all 11 atoms:
Ge 0.4507 0.4507 0.0000  2 Pt 2.49, 1 Ge 2.51
Ge 0.5493 0.5493 0.0000  2 Pt 2.49, 1 Ge 2.51
Ge 0.8035 0.3035 0.5000  4 Ir 2.48-2.55, 1 Pt 2.50
Ge 0.1965 0.6965 0.5000  4 Ir 2.48-2.55, 1 Pt 2.50
Ir 0.2502 0.2502 0.0000  4 Ge 2.48-2.55
Ir 0.7498 0.7498 0.0000  4 Ge 2.48-2.55
Pr 0.0000 0.0000 0.0000  4 Pt 3.24, 8 Ge 3.24
Pr 0.6479 0.1479 0.5000  6 Ge 3.23-3.25, 4 Pt 3.25, 4 Ir 3.31-3.38
Pr 0.3521 0.8521 0.5000  6 Ge 3.23-3.25, 4 Pt 3.25, 4 Ir 3.31-3.38
Pt 0.9018 0.4018 0.5000  3 Ge 2.49-2.50
Pt 0.0982 0.5982 0.5000  3 Ge 2.49-2.50

* V: 20.6 A^3/atom
* energy: -73.035 eV per cell
* crystal system: orthorhombic
* spin magnetization: 0.00 μB/f.u.



Computed, not measured: crystalline PrGe2IrPt at its relaxed geometry at the GGA-PBE level of DFT.

Lattice parameters (Å, degrees): 4.2880 4.2880 10.3391 90.00 90.00 90.00
Closest atoms and distances in Å follow each position.
Fractional coordinates of all 10 atoms:
Ge 0.5000 0.0000 0.1280  1 Pt 2.49, 4 Ir 2.52
Ge 0.0000 0.0000 0.5000  4 Pt 2.54
Ge 0.5000 0.5000 0.5000  4 Pt 2.54
Ge 0.0000 0.5000 0.8720  1 Pt 2.49, 4 Ir 2.52
Ir 0.0000 0.0000 0.0000  4 Ge 2.52
Ir 0.5000 0.5000 0.0000  4 Ge 2.52
Pr 0.0000 0.5000 0.2527  4 Pt 3.26, 8 Ge 3.29-3.34, 4 Ir 3.38
Pr 0.5000 0.0000 0.7473  4 Pt 3.26, 8 Ge 3.29-3.34, 4 Ir 3.38
Pt 0.5000 0.0000 0.3685  5 Ge 2.49-2.54
Pt 0.0000 0.5000 0.6315  5 Ge 2.49-2.54

* V: 19.0 A^3/atom
* energy relative to the lowest polymorph listed for this composition: 0.0000 eV/atom
* crystal system: tetragonal
* spin magnetization: 0.00 μB/f.u.



Computed, not measured: crystalline PrGe2IrPt at its relaxed geometry at the GGA-PBE level of DFT.

Lattice parameters (Å, degrees): 4.3872 4.3872 10.0099 90.00 90.00 90.00
Closest atoms and distances in Å follow each position.
Fractional coordinates of all 10 atoms:
Ge 0.0000 0.5000 0.1346  1 Ir 2.43, 4 Pt 2.57
Ge 0.0000 0.0000 0.5000  4 Ir 2.51
Ge 0.5000 0.5000 0.5000  4 Ir 2.51
Ge 0.5000 0.0000 0.8654  1 Ir 2.43, 4 Pt 2.57
Ir 0.0000 0.5000 0.3776  5 Ge 2.43-2.51
Ir 0.5000 0.0000 0.6224  5 Ge 2.43-2.51
Pr 0.5000 0.0000 0.2576  8 Ge 3.27-3.34, 5 Ir 3.33-3.65, 4 Pt 3.39
Pr 0.0000 0.5000 0.7424  8 Ge 3.27-3.34, 5 Ir 3.33-3.65, 4 Pt 3.39
Pt 0.0000 0.0000 0.0000  4 Ge 2.57
Pt 0.5000 0.5000 0.0000  4 Ge 2.57

* V: 19.3 A^3/atom
* energy relative to the lowest polymorph listed for this composition: 0.0420 eV/atom
* crystal system: tetragonal
* spin magnetization: 0.00 μB/f.u.



Computed, not measured: crystalline PrGeSbIr2 at its relaxed geometry at the GGA-PBE level of DFT.

Lattice parameters (Å, degrees): 4.3889 4.3889 10.5523 90.00 90.00 90.00
Closest atoms and distances in Å follow each position.
Fractional coordinates of all 10 atoms:
Ge 0.0000 0.5000 0.3755  5 Ir 2.45-2.56
Ge 0.5000 0.0000 0.6245  5 Ir 2.45-2.56
Ir 0.0000 0.5000 0.1430  1 Ge 2.45, 4 Sb 2.66
Ir 0.0000 0.0000 0.5000  4 Ge 2.56
Ir 0.5000 0.5000 0.5000  4 Ge 2.56
Ir 0.5000 0.0000 0.8570  1 Ge 2.45, 4 Sb 2.66
Pr 0.5000 0.0000 0.2639  4 Ge 3.32, 8 Ir 3.32-3.36, 4 Sb 3.55
Pr 0.0000 0.5000 0.7361  4 Ge 3.32, 8 Ir 3.32-3.36, 4 Sb 3.55
Sb 0.0000 0.0000 0.0000  4 Ir 2.66
Sb 0.5000 0.5000 0.0000  4 Ir 2.66

* V: 20.3 A^3/atom
* energy: -69.103 eV per cell
* crystal system: tetragonal
* spin magnetization: 0.00 μB/f.u.



Computed, not measured: crystalline PrSiGeIr at its relaxed geometry at the GGA-PBE level of DFT.

Lattice parameters (Å, degrees): 11.1732 11.1732 2.9166 90.00 90.00 151.17
Closest atoms and distances in Å follow each position.
Fractional coordinates of all 8 atoms:
Ge 0.8295 0.1705 0.5000  1 Ir 2.40
Ge 0.1705 0.8295 0.5000  1 Ir 2.40
Ir 0.9403 0.0597 0.5000  1 Ge 2.40, 1 Ir 2.59
Ir 0.0597 0.9403 0.5000  1 Ge 2.40, 1 Ir 2.59
Pr 0.6869 0.3131 0.5000  3 Ge 2.80-3.09, 1 Si 2.91, 2 Pr 2.92
Pr 0.3131 0.6869 0.5000  3 Ge 2.80-3.09, 1 Si 2.91, 2 Pr 2.92
Si 0.5525 0.4475 0.5000  1 Si 2.27
Si 0.4475 0.5525 0.5000  1 Si 2.27

* V: 21.9 A^3/atom
* energy: -43.669 eV per cell
* crystal system: orthorhombic
* spin magnetization: 0.01 μB/f.u.



Computed, not measured: crystalline PrSiGe3Ir6 at its relaxed geometry at the GGA-PBE level of DFT.

Lattice parameters (Å, degrees): 7.1828 7.1828 3.9326 90.00 90.00 120.00
Closest atoms and distances in Å follow each position.
Fractional coordinates of all 11 atoms:
Ge 0.3928 0.1964 0.5000  6 Ir 2.49-2.60
Ge 0.8036 0.1964 0.5000  6 Ir 2.49-2.60
Ge 0.8036 0.6072 0.5000  6 Ir 2.49-2.60
Ir 0.5298 0.0596 0.0000  1 Si 2.44, 4 Ge 2.60
Ir 0.5298 0.4702 0.0000  1 Si 2.44, 4 Ge 2.60
Ir 0.9404 0.4702 0.0000  1 Si 2.44, 4 Ge 2.60
Ir 0.2032 0.4065 0.5000  2 Ge 2.49, 2 Si 2.55
Ir 0.2032 0.7968 0.5000  2 Ge 2.49, 2 Si 2.55
Ir 0.5935 0.7968 0.5000  2 Ge 2.49, 2 Si 2.55
Pr 0.0000 0.0000 0.0000  6 Ge 3.14, 6 Ir 3.20
Si 0.3333 0.6667 0.0000  9 Ir 2.44-2.55

* V: 16.0 A^3/atom
* energy: -83.909 eV per cell
* crystal system: hexagonal
* spin magnetization: 0.00 μB/f.u.



Computed, not measured: crystalline PrSi2GeIr at its relaxed geometry at the GGA-PBE level of DFT.

Lattice parameters (Å, degrees): 5.8629 5.8629 5.8629 136.73 136.73 62.86
Closest atoms and distances in Å follow each position.
Fractional coordinates of all 5 atoms:
Ge 0.4130 0.4130 0.0000  1 Ir 2.46, 4 Si 2.65
Ir 0.6592 0.6592 0.0000  4 Si 2.38, 1 Ge 2.46
Pr 0.9979 0.9979 0.0000  4 Ge 3.17, 8 Si 3.22-3.40, 5 Ir 3.39-3.46
Si 0.7597 0.2597 0.5000  2 Ir 2.38, 2 Ge 2.65
Si 0.2597 0.7597 0.5000  2 Ir 2.38, 2 Ge 2.65

* V: 18.7 A^3/atom
* energy: -32.925 eV per cell
* crystal system: tetragonal
* spin magnetization: 0.00 μB/f.u.



Computed, not measured: crystalline PrSnGeIr2 at its relaxed geometry at the GGA-PBE level of DFT.

Lattice parameters (Å, degrees): 4.4287 4.4287 10.4715 90.00 90.00 90.00
Closest atoms and distances in Å follow each position.
Fractional coordinates of all 10 atoms:
Ge 0.0000 0.0000 0.5000  4 Ir 2.50
Ge 0.5000 0.5000 0.5000  4 Ir 2.50
Ir 0.0000 0.0000 0.0000  4 Sn 2.65
Ir 0.5000 0.5000 0.0000  4 Sn 2.65
Ir 0.5000 0.0000 0.3882  4 Ge 2.50, 1 Sn 2.61
Ir 0.0000 0.5000 0.6118  4 Ge 2.50, 1 Sn 2.61
Pr 0.0000 0.5000 0.2637  4 Ge 3.32, 9 Ir 3.39-3.64, 4 Sn 3.39
Pr 0.5000 0.0000 0.7363  4 Ge 3.32, 9 Ir 3.39-3.64, 4 Sn 3.39
Sn 0.5000 0.0000 0.1389  5 Ir 2.61-2.65
Sn 0.0000 0.5000 0.8611  5 Ir 2.61-2.65

* V: 20.5 A^3/atom
* energy: -68.573 eV per cell
* crystal system: tetragonal
* spin magnetization: 0.00 μB/f.u.



Computed, not measured: crystalline SrPrGe2Ir at its relaxed geometry at the GGA-PBE level of DFT.

Lattice parameters (Å, degrees): 6.0659 6.0659 10.8045 115.83 115.83 43.08
Closest atoms and distances in Å follow each position.
Fractional coordinates of all 10 atoms:
Ge 0.6651 0.6651 0.0591  3 Ir 2.50-2.64
Ge 0.5029 0.5029 0.3699  1 Ir 2.58, 1 Ge 2.84
Ge 0.4971 0.4971 0.6301  1 Ir 2.58, 1 Ge 2.84
Ge 0.3349 0.3349 0.9409  3 Ir 2.50-2.64
Ir 0.2725 0.2725 0.1476  4 Ge 2.50-2.64
Ir 0.7275 0.7275 0.8524  4 Ge 2.50-2.64
Pr 0.9954 0.9954 0.1672  5 Ge 3.10-3.34, 4 Ir 3.23-3.33
Pr 0.0046 0.0046 0.8328  5 Ge 3.10-3.34, 4 Ir 3.23-3.33
Sr 0.8121 0.8121 0.3920  6 Ge 3.18-3.38, 2 Ir 3.32
Sr 0.1879 0.1879 0.6080  6 Ge 3.18-3.38, 2 Ir 3.32

* V: 24.0 A^3/atom
* energy: -56.204 eV per cell
* crystal system: monoclinic
* spin magnetization: 0.00 μB/f.u.



Computed, not measured: crystalline TbPrGe2Ir at its relaxed geometry at the GGA-PBE level of DFT.

Lattice parameters (Å, degrees): 5.8421 5.8421 10.5786 115.39 115.39 43.60
Closest atoms and distances in Å follow each position.
Fractional coordinates of all 10 atoms:
Ge 0.4819 0.4819 0.1128  1 Ir 2.59, 1 Ge 2.59
Ge 0.3452 0.3452 0.4446  3 Ir 2.53-2.82
Ge 0.6548 0.6548 0.5554  3 Ir 2.53-2.82
Ge 0.5181 0.5181 0.8872  1 Ir 2.59, 1 Ge 2.59
Ir 0.7260 0.7260 0.3309  4 Ge 2.53-2.82
Ir 0.2740 0.2740 0.6691  4 Ge 2.53-2.82
Pr 0.0056 0.0056 0.3278  3 Ir 3.05-3.22, 7 Ge 3.07-3.35
Pr 0.9944 0.9944 0.6722  3 Ir 3.05-3.22, 7 Ge 3.07-3.35
Tb 0.1881 0.1881 0.1186  2 Ir 3.01, 6 Ge 3.06-3.22
Tb 0.8119 0.8119 0.8814  2 Ir 3.01, 6 Ge 3.06-3.22

* V: 22.1 A^3/atom
* energy relative to the lowest polymorph listed for this composition: 0.0079 eV/atom
* crystal system: monoclinic
* spin magnetization: 0.00 μB/f.u.



Among the records above, which one has the highest V? SrPrGe2Ir